# ZrNiBF2 | Alexandria | PBE with a Hubbard U | relaxed
# **Energy**: -4.219 eV/atom
# **Calculated volume**: 13.2 Å³/atom
data_ZrNiBF2
_chemical_formula_sum 'Zr1 Ni1 B1 F2'
_cell_length_a 3.596
_cell_length_b 3.596
_cell_length_c 5.110
_cell_angle_alpha 90.00
_cell_angle_beta 90.00
_cell_angle_gamma 90.00
_symmetry_space_group_name_H-M 'P 4/m m m'
_symmetry_Int_Tables_number 123
_symmetry_space_group_name_Hall '-P 4 2'
loop_
_atom_site_label
_atom_site_fract_x
_atom_site_fract_y
_atom_site_fract_z
Zr1 0.000 0.000 0.000
Ni1 0.500 0.500 0.000
B1 0.000 0.000 0.500
F1 0.000 0.500 0.500